Entry a
A relaxed CrPb2Cl crystal, computed with GGA-PBEsol.

```
CrPb2Cl
1.0
-2.737 -1.705 -1.073
-0.174 -1.602 2.992
-4.756 5.840 2.851
Pb Cr Cl
2 1 1
direct
0.000 0.000 0.230
0.000 0.000 0.770
0.500 0.500 0.000
0.500 0.500 0.500
```

* calculated density: 9.0 Mg/m³


Entry b
A relaxed CrPb2Cl crystal, computed with GGA-PBEsol.

```
CrPb2Cl
1.0
-0.965 -1.739 -2.894
2.134 -2.420 -1.388
-3.437 -7.651 3.613
Pb Cr Cl
2 1 1
direct
0.254 0.254 0.239
0.746 0.746 0.761
0.000 0.000 0.000
0.500 0.500 0.500
```

* calculated density: 8.8 Mg/m³


entry a (55 meV per atom below the next structure)


Entry a
A relaxed CrPb2Cl crystal, computed with GGA-PBEsol.

```
CrPb2Cl
1.0
4.659 0.000 0.000
0.000 4.659 0.000
-2.330 -2.330 4.367
Pb Cr Cl
2 1 1
direct
0.750 0.250 0.500
0.250 0.750 0.500
0.000 0.000 0.000
0.500 0.500 0.000
```

* calculated density: 8.8 Mg/m³


Entry b
A relaxed CrPb2Cl crystal, computed with GGA-PBEsol.

```
CrPb2Cl
1.0
-0.717 -1.315 2.932
2.942 -4.449 -1.275
3.160 5.117 1.219
Pb Cr Cl
2 1 1
direct
0.040 0.040 0.080
0.246 0.746 0.492
0.771 0.270 0.541
0.443 0.443 0.887
```

* calculated density: 8.8 Mg/m³


entry b (248 meV per atom below the next structure)


Entry a
A relaxed CrPbCl crystal, computed with GGA-PBEsol.

```
CrPbCl
1.0
-0.812 -1.209 2.959
1.755 -1.941 -2.007
5.783 4.303 2.354
Pb Cr Cl
1 1 1
direct
0.688 0.688 0.376
0.354 0.354 0.707
0.958 0.958 0.917
```

* calculated density: 6.9 Mg/m³


Entry b
A relaxed CrPbCl crystal, computed with GGA-PBEsol.

```
CrPbCl
1.0
-0.776 2.131 2.257
-1.672 -2.247 1.546
6.730 -1.637 1.591
Pb Cr Cl
1 1 1
direct
0.305 0.305 0.611
0.646 0.646 0.292
0.049 0.049 0.097
```

* calculated density: 7.1 Mg/m³


Entry c
A relaxed CrPbCl crystal, computed with GGA-PBEsol.

```
CrPbCl
1.0
-1.813 -0.511 -3.190
0.839 -4.314 0.214
-3.663 1.622 1.821
Pb Cr Cl
1 1 1
direct
0.500 0.667 0.333
0.000 0.333 0.667
0.000 0.000 0.000
```

* calculated density: 7.9 Mg/m³


entry a (20 meV per atom below the next structure)


Entry a
A relaxed CrReCl2 crystal, computed with GGA-PBEsol.

```
CrReCl2
1.0
2.990 -0.010 0.000
-1.451 2.615 0.000
0.000 0.000 8.979
Re Cl Cr
1 2 1
direct
0.500 0.500 0.280
0.000 0.000 0.054
0.500 0.500 0.684
0.000 0.000 0.482
```

* calculated density: 7.3 Mg/m³


Entry b
A relaxed CrReCl2 crystal, computed with GGA-PBEsol.

```
CrReCl2
1.0
2.712 0.000 0.000
0.000 2.712 0.000
0.000 0.000 9.170
Re Cl Cr
1 2 1
direct
0.500 0.500 0.500
0.000 0.000 0.842
0.000 0.000 0.158
0.500 0.500 0.000
```

* calculated density: 7.6 Mg/m³


Entry c
A relaxed CrReCl2 crystal, computed with GGA-PBEsol.

```
CrReCl2
1.0
2.888 0.000 0.025
0.000 4.023 0.000
-0.988 0.000 5.433
Re Cl Cr
1 2 1
direct
0.000 0.500 0.000
0.119 0.000 0.250
0.881 0.000 0.750
0.500 0.500 0.500
```

* calculated density: 8.1 Mg/m³


entry a (409 meV per atom below the next structure)


Entry a
A relaxed CrRuCl2 crystal, computed with GGA-PBEsol.

```
CrRuCl2
1.0
4.391 0.000 0.000
2.195 3.802 0.000
2.195 1.267 3.585
Ru Cl Cr
1 2 1
direct
0.000 0.000 0.000
0.250 0.250 0.250
0.750 0.750 0.750
0.500 0.500 0.500
```

* calculated density: 6.2 Mg/m³


Entry b
A relaxed CrRuCl2 crystal, computed with GGA-PBEsol.

```
CrRuCl2
1.0
-0.786 1.813 -2.169
-2.983 -0.533 0.636
1.883 5.462 5.870
Ru Cl Cr
1 2 1
direct
0.330 0.830 0.660
0.017 0.017 0.033
0.729 0.229 0.457
0.425 0.425 0.850
```

* calculated density: 5.1 Mg/m³


entry b (431 meV per atom below the next structure)


Entry a
A relaxed Cr3RuCl crystal, computed with GGA-PBEsol.

```
Cr3RuCl
1.0
4.030 0.000 0.000
0.000 4.030 0.000
0.000 0.000 4.030
Ru Cl Cr
1 1 3
direct
0.500 0.500 0.500
0.000 0.000 0.000
0.000 0.500 0.000
0.000 0.000 0.500
0.500 0.000 0.000
```

* calculated density: 7.4 Mg/m³


Entry b
A relaxed Cr3RuCl crystal, computed with GGA-PBEsol.

```
Cr3RuCl
1.0
-0.761 -3.072 -3.449
4.603 -0.797 -0.305
-0.387 -3.441 3.150
Ru Cl Cr
1 1 3
direct
0.000 0.000 0.000
0.500 0.500 0.500
0.000 0.500 0.000
0.000 0.000 0.500
0.500 0.000 0.000
```

* calculated density: 4.7 Mg/m³


entry a (359 meV per atom below the next structure)


Entry a
A relaxed ScCrCl2 crystal, computed with GGA-PBEsol.

```
ScCrCl2
1.0
3.474 0.000 0.000
0.000 3.509 -0.027
0.000 -1.705 6.127
Sc Cr Cl
1 1 2
direct
0.500 0.464 0.802
0.000 0.826 0.528
0.000 0.021 0.917
0.500 0.689 0.254
```

* calculated density: 3.7 Mg/m³


Entry b
A relaxed ScCrCl2 crystal, computed with GGA-PBEsol.

```
ScCrCl2
1.0
-0.506 2.891 1.041
-2.653 0.121 -1.626
-4.516 -3.353 7.118
Sc Cr Cl
1 1 2
direct
0.500 0.500 0.500
0.500 0.500 0.000
0.000 0.000 0.666
0.000 0.000 0.334
```

* calculated density: 3.2 Mg/m³


entry a (181 meV per atom below the next structure)


Entry a
A relaxed ScCrCl2 crystal, computed with GGA-PBEsol.

```
ScCrCl2
1.0
3.032 0.000 0.000
0.000 3.032 0.000
0.000 0.000 7.691
Sc Cr Cl
1 1 2
direct
0.500 0.500 0.733
0.000 0.000 0.476
0.000 0.000 0.941
0.500 0.500 0.350
```

* calculated density: 3.9 Mg/m³


Entry b
A relaxed ScCrCl2 crystal, computed with GGA-PBEsol.

```
ScCrCl2
1.0
3.295 0.000 0.000
1.647 2.853 0.000
1.647 0.951 8.303
Sc Cr Cl
1 1 2
direct
0.500 0.500 0.500
0.000 0.000 0.000
0.902 0.902 0.293
0.098 0.098 0.707
```

* calculated density: 3.6 Mg/m³


entry b (45 meV per atom below the next structure)


Entry a
A relaxed CrSe2Cl crystal, computed with GGA-PBEsol.

```
CrSe2Cl
1.0
3.731 0.000 0.000
-1.866 3.202 -0.067
0.000 -2.135 7.463
Cr Se Cl
1 2 1
direct
0.500 0.000 0.500
0.105 0.209 0.331
0.895 0.791 0.669
0.000 0.000 0.000
```

* calculated density: 4.6 Mg/m³


Entry b
A relaxed CrSe2Cl crystal, computed with GGA-PBEsol.

```
CrSe2Cl
1.0
-0.233 2.708 0.802
-2.215 0.324 -1.737
-5.771 -2.537 6.886
Cr Se Cl
1 2 1
direct
0.500 0.500 0.750
0.000 0.000 0.911
0.500 0.500 0.245
0.000 0.000 0.594
```

* calculated density: 5.4 Mg/m³


entry a (256 meV per atom below the next structure)


Entry a
A relaxed Cr2SeCl crystal, computed with GGA-PBEsol.

```
Cr2SeCl
1.0
3.283 0.000 0.000
0.000 3.283 0.000
0.000 0.000 6.146
Cr Se Cl
2 1 1
direct
0.000 0.000 0.992
0.500 0.500 0.250
0.000 0.000 0.402
0.500 0.500 0.855
```

* calculated density: 5.5 Mg/m³


Entry b
A relaxed Cr2SeCl crystal, computed with GGA-PBEsol.

```
Cr2SeCl
1.0
-1.677 2.296 1.586
-2.741 -1.705 -0.429
1.079 -3.181 5.745
Cr Se Cl
2 1 1
direct
0.000 0.000 0.774
0.000 0.000 0.226
0.500 0.500 0.000
0.500 0.500 0.500
```

* calculated density: 5.1 Mg/m³


Entry c
A relaxed Cr2SeCl crystal, computed with GGA-PBEsol.

```
Cr2SeCl
1.0
-0.469 -0.299 -3.471
2.301 -2.652 -0.083
-4.322 -3.779 0.899
Cr Se Cl
2 1 1
direct
0.125 0.000 0.118
0.625 0.500 0.118
0.624 0.000 0.397
0.126 0.500 0.867
```

* calculated density: 5.1 Mg/m³


Entry d
A relaxed Cr2SeCl crystal, computed with GGA-PBEsol.

```
Cr2SeCl
1.0
3.443 0.000 0.000
0.000 3.515 0.000
-1.722 -1.757 6.387
Cr Se Cl
2 1 1
direct
0.028 0.028 0.055
0.804 0.304 0.607
0.460 0.460 0.919
0.209 0.709 0.418
```

* calculated density: 4.7 Mg/m³


entry c (102 meV per atom below the next structure)


Entry a
A relaxed SrCr2Cl crystal, computed with GGA-PBEsol.

```
SrCr2Cl
1.0
-2.855 -2.583 1.312
2.892 -2.427 1.514
-0.283 5.461 3.831
Sr Cl Cr
1 1 2
direct
0.500 0.500 0.000
0.000 0.000 0.000
0.750 0.250 0.500
0.250 0.750 0.500
```

* calculated density: 3.8 Mg/m³


Entry b
A relaxed SrCr2Cl crystal, computed with GGA-PBEsol.

```
SrCr2Cl
1.0
-1.219 -3.057 1.010
2.141 -2.365 1.294
-1.097 1.545 9.217
Sr Cl Cr
1 1 2
direct
0.500 0.500 0.500
0.000 0.000 0.000
0.265 0.265 0.205
0.735 0.735 0.795
```

* calculated density: 4.0 Mg/m³


Entry c
A relaxed SrCr2Cl crystal, computed with GGA-PBEsol.

```
SrCr2Cl
1.0
3.674 0.000 0.000
0.000 4.506 0.000
0.000 0.000 6.082
Sr Cl Cr
1 1 2
direct
0.500 0.000 0.500
0.000 0.500 0.500
0.000 0.000 0.000
0.500 0.500 0.000
```

* calculated density: 3.7 Mg/m³


entry a (27 meV per atom below the next structure)


Entry a
A relaxed CrTc2Cl crystal, computed with GGA-PBEsol.

```
CrTc2Cl
1.0
-3.979 -1.195 -0.818
-0.755 -3.028 -2.862
-1.368 -3.806 1.255
Cr Tc Cl
1 2 1
direct
0.250 0.250 0.250
0.000 0.000 0.000
0.750 0.750 0.750
0.500 0.500 0.500
```

* calculated density: 8.8 Mg/m³


Entry b
A relaxed CrTc2Cl crystal, computed with GGA-PBEsol.

```
CrTc2Cl
1.0
-2.617 0.112 -0.998
-1.187 -2.435 2.839
0.156 3.787 3.313
Cr Tc Cl
1 2 1
direct
0.500 0.500 0.500
0.158 0.000 0.747
0.842 0.000 0.253
0.500 0.500 0.000
```

* calculated density: 8.7 Mg/m³


entry b (366 meV per atom below the next structure)